[1]
# CdIn2S3

A relaxed structure of CdIn2S3 (PBE-GGA, the Alexandria database).

**Total magnetic moment**: 0.00 μB/f.u.
**DFT total energy**: -3.5608 eV per atom

Unit cell a=3.8304 b=6.6457 c=11.8008 alpha=81.89 beta=90.00 gamma=90.00
Positions (direct):
S 0.7500 0.0429 0.6298
S 0.7500 0.7434 0.9191
In 0.7500 0.7467 0.5032
Cd 0.7500 0.1689 0.2259
In 0.2500 0.2533 0.4968
In 0.7500 0.3091 0.8939
S 0.2500 0.9571 0.3702
In 0.2500 0.6909 0.1061
S 0.2500 0.5555 0.6257
S 0.2500 0.2566 0.0809
S 0.7500 0.4445 0.3743
Cd 0.2500 0.8311 0.7741

***

[2]
# Cd2InS4

A relaxed structure of Cd2InS4 (PBE-GGA, the Alexandria database).

**Energy relative to the lowest polymorph listed for this composition**: 0 meV per atom
**Total magnetic moment**: 0.00 μB/f.u.
**DFT total energy**: -3.4177 eV per atom

Unit cell a=7.8719 b=7.7811 c=7.7811 alpha=59.60 beta=59.61 gamma=59.61
Positions (direct):
S 0.2553 0.2643 0.2250
S 0.7218 0.2617 0.7617
S 0.7453 0.7383 0.2383
In 0.5000 0.5000 0.0000
Cd 0.5000 0.5000 0.5000
Cd 0.1200 0.1300 0.6300
S 0.2782 0.7383 0.2383
Cd 0.5000 0.0000 0.0000
Cd 0.8800 0.8700 0.3700
S 0.2547 0.2617 0.7617
In 0.0000 0.5000 0.0000
S 0.2553 0.7250 0.7643
S 0.7447 0.2750 0.2357
S 0.7447 0.7357 0.7750

***

[3]
# Cd3InS4

A relaxed structure of Cd3InS4 (PBE-GGA, the Alexandria database).

**Total magnetic moment**: 0.00 μB/f.u.
**DFT total energy**: -3.2787 eV per atom

Unit cell a=6.0133 b=6.0133 c=6.0133 alpha=90.00 beta=90.00 gamma=90.00
Positions (direct):
Cd 0.5000 0.0000 0.5000
S 0.7460 0.2540 0.7460
In 0.0000 0.0000 0.0000
Cd 0.0000 0.5000 0.5000
S 0.7460 0.7460 0.2540
S 0.2540 0.7460 0.7460
S 0.2540 0.2540 0.2540
Cd 0.5000 0.5000 0.0000

***

Which value of total magnetic moment does entry 1 give?
0.00 μB/f.u.